Sm3TiPt12 | PBE | optimized geometry

Geometry as POSCAR:
```
Sm3TiPt12
1.0
4.1164 0.0000 0.0000
0.0000 4.1164 0.0000
0.0000 0.0000 16.4635
Sm Ti Pt
3 1 12
Cartesian
0.0000 0.0000 0.0000 Sm
0.0000 0.0000 4.1989 Sm
0.0000 0.0000 12.2646 Sm
0.0000 0.0000 8.2318 Ti
0.0000 2.0582 2.1198 Pt
0.0000 2.0582 6.3947 Pt
0.0000 2.0582 10.0688 Pt
0.0000 2.0582 14.3437 Pt
2.0582 0.0000 2.1198 Pt
2.0582 0.0000 6.3947 Pt
2.0582 0.0000 10.0688 Pt
2.0582 0.0000 14.3437 Pt
2.0582 2.0582 0.0000 Pt
2.0582 2.0582 4.2586 Pt
2.0582 2.0582 8.2318 Pt
2.0582 2.0582 12.2049 Pt
```

## Properties
SG   P4/mmm (123)
Uncorrected energy   -6.82 eV/atom
V   279.0 Å³/f.u.
E_form   -0.910 eV per atom

SmTiPt2 | PBE | optimized geometry

Geometry as POSCAR:
```
SmTiPt2
1.0
2.2109 1.2765 4.8954
-2.2109 1.2765 4.8954
0.0000 -2.5530 4.8954
Sm Ti Pt
1 1 2
Cartesian
0.0000 0.0000 0.0000 Sm
0.0000 0.0000 7.3431 Ti
0.0000 0.0000 3.1088 Pt
0.0000 0.0000 11.5773 Pt
```

## Properties
SG   R-3m (166)
Energy above the most stable polymorph in this dataset   0.0000 eV/atom
Uncorrected energy   -7.15 eV/atom
V   82.9 Å³/f.u.
E_form   -0.981 eV per atom

SmTiPt2 | PBE | optimized geometry

Geometry as POSCAR:
```
SmTiPt2
1.0
3.2280 0.0000 0.0000
0.0000 3.2280 0.0000
0.0000 0.0000 7.3018
Sm Ti Pt
1 1 2
Cartesian
0.0000 0.0000 0.0000 Sm
0.0000 0.0000 3.6509 Ti
1.6140 1.6140 2.2012 Pt
1.6140 1.6140 5.1006 Pt
```

## Properties
SG   P4/mmm (123)
Energy above the most stable polymorph in this dataset   0.0291 eV/atom
Uncorrected energy   -7.13 eV/atom
V   76.1 Å³/f.u.
E_form   -0.951 eV per atom

SmTi2Pt3 | PBE | optimized geometry

Geometry as POSCAR:
```
SmTi2Pt3
1.0
5.2274 -3.9663 0.0000
5.2274 3.9663 0.0000
0.0000 0.0000 5.6484
Sm Ti Pt
2 4 6
Cartesian
5.2274 2.6683 4.2363 Sm
5.2274 -2.6683 1.4121 Sm
3.0273 0.0000 0.0000 Ti
3.0273 0.0000 2.8242 Ti
7.4275 0.0000 0.0000 Ti
7.4275 0.0000 2.8242 Ti
3.6293 2.4576 1.4121 Pt
6.8255 2.4576 1.4121 Pt
5.2274 0.2765 1.4121 Pt
5.2274 -0.2765 4.2363 Pt
3.6293 -2.4576 4.2363 Pt
6.8255 -2.4576 4.2363 Pt
```

## Properties
SG   Cmcm (63)
Uncorrected energy   -7.31 eV/atom
V   117.1 Å³/f.u.
E_form   -0.871 eV per atom

Sm2TiZn3Pt4 | PBE | optimized geometry

Geometry as POSCAR:
```
Sm2TiZn3Pt4
1.0
4.0970 0.0000 0.0000
0.0000 4.0970 0.0000
0.0000 0.0000 11.3175
Sm Ti Zn Pt
2 1 3 4
Cartesian
0.0000 2.0485 2.7014 Sm
2.0485 0.0000 8.6160 Sm
0.0000 0.0000 5.6587 Ti
0.0000 2.0485 9.7993 Zn
2.0485 0.0000 1.5181 Zn
2.0485 2.0485 5.6587 Zn
0.0000 0.0000 0.0000 Pt
0.0000 2.0485 7.2826 Pt
2.0485 0.0000 4.0348 Pt
2.0485 2.0485 0.0000 Pt
```

## Properties
SG   P-4m2 (115)
Uncorrected energy   -5.32 eV/atom
V   190.0 Å³/f.u.
E_form   -0.786 eV per atom

Sm2TiZnPt6 | PBE | optimized geometry

Geometry as POSCAR:
```
Sm2TiZnPt6
1.0
2.8439 1.6419 7.9068
-2.8439 1.6419 7.9068
0.0000 -3.2838 7.9068
Sm Ti Zn Pt
2 1 1 6
Cartesian
0.0000 0.0000 4.8654 Sm
0.0000 0.0000 18.8549 Sm
0.0000 0.0000 11.8602 Ti
0.0000 0.0000 0.0000 Zn
-1.4505 -0.8375 13.7290 Pt
0.0000 -1.6749 9.9913 Pt
-1.4505 0.8375 9.9913 Pt
1.4505 -0.8375 13.7290 Pt
0.0000 1.6749 13.7290 Pt
1.4505 0.8375 9.9913 Pt
```

## Properties
SG   R-3m (166)
Uncorrected energy   -6.26 eV/atom
V   221.5 Å³/f.u.
E_form   -0.773 eV per atom

Sm5TlPt2 | PBE | optimized geometry

Geometry as POSCAR:
```
Sm5TlPt2
1.0
-4.0113 4.0113 6.8610
4.0113 -4.0113 6.8610
4.0113 4.0113 -6.8610
Sm Tl Pt
10 2 4
Cartesian
0.0000 0.0000 0.0000 Sm
5.2909 1.2796 -1.8855 Sm
1.2796 2.7317 -1.8855 Sm
5.2909 1.2796 1.8855 Sm
1.2796 2.7317 1.8855 Sm
0.0000 0.0000 6.8610 Sm
2.7317 1.2796 4.9755 Sm
-1.2796 2.7317 4.9755 Sm
2.7317 1.2796 8.7465 Sm
-1.2796 2.7317 8.7465 Sm
0.0000 0.0000 3.4305 Tl
0.0000 0.0000 10.2915 Tl
2.9262 1.0851 0.0000 Pt
2.9262 -1.0851 6.8610 Pt
1.0851 5.0963 0.0000 Pt
1.0851 2.9262 6.8610 Pt
```

## Properties
SG   I4/mcm (140)
Uncorrected energy   -5.49 eV/atom
V   220.8 Å³/f.u.
E_form   -0.737 eV per atom

Sm8TlPt2 | PBE | optimized geometry

Geometry as POSCAR:
```
Sm8TlPt2
1.0
4.4100 -6.8956 0.0000
4.4100 6.8956 0.0000
-1.4645 0.0000 5.4509
Sm Tl Pt
8 1 2
Cartesian
0.9688 1.7201 3.1197 Sm
4.4100 3.5137 0.0000 Sm
0.9688 -1.7201 3.1197 Sm
3.1892 0.0000 1.0548 Sm
4.1662 0.0000 4.3961 Sm
6.3867 1.7201 2.3311 Sm
4.4100 -3.5137 0.0000 Sm
6.3867 -1.7201 2.3311 Sm
0.0000 0.0000 0.0000 Tl
3.6777 2.7321 2.7254 Pt
3.6777 -2.7321 2.7254 Pt
```

## Properties
SG   C2/m (12)
Uncorrected energy   -5.19 eV/atom
V   331.5 Å³/f.u.
E_form   -0.442 eV per atom

Sm5Tl2Pt | PBE | optimized geometry

Geometry as POSCAR:
```
Sm5Tl2Pt
1.0
7.6882 0.0000 0.0000
0.0000 12.6762 0.0000
0.0000 0.0000 4.8407
Sm Tl Pt
10 4 2
Cartesian
0.0000 0.0000 0.0000 Sm
1.0529 3.6791 0.0000 Sm
1.3916 7.2928 2.4204 Sm
2.4525 0.9547 2.4204 Sm
2.7911 10.0173 0.0000 Sm
3.8441 6.3381 0.0000 Sm
4.8970 2.6590 0.0000 Sm
5.2357 11.7215 2.4204 Sm
6.2966 5.3834 2.4204 Sm
6.6352 8.9971 0.0000 Sm
0.6403 10.5670 2.4204 Tl
3.2038 4.2289 2.4204 Tl
4.4844 8.4473 2.4204 Tl
7.0479 2.1092 2.4204 Tl
0.0000 6.3381 0.0000 Pt
3.8441 0.0000 0.0000 Pt
```

## Properties
SG   Pbam (55)
Energy above the most stable polymorph in this dataset   0.0000 eV/atom
Uncorrected energy   -4.81 eV/atom
V   235.9 Å³/f.u.
E_form   -0.514 eV per atom

Sm2TlPt | PBE | optimized geometry

Geometry as POSCAR:
```
Sm2TlPt
1.0
2.0549 1.1864 8.1553
-2.0549 1.1864 8.1553
0.0000 -2.3728 8.1553
Sm Tl Pt
2 1 1
Cartesian
0.0000 0.0000 0.0000 Sm
0.0000 0.0000 4.9230 Sm
0.0000 0.0000 10.6267 Tl
0.0000 0.0000 14.6712 Pt
```

## Properties
SG   R3m (160)
Energy above the most stable polymorph in this dataset   0.0733 eV/atom
Uncorrected energy   -5.13 eV/atom
V   119.3 Å³/f.u.
E_form   -0.669 eV per atom

Sm7Tl2Pt2 | PBE | optimized geometry

Geometry as POSCAR:
```
Sm7Tl2Pt2
1.0
4.2111 -5.6590 0.0000
4.2111 5.6590 0.0000
0.0000 0.0000 7.2204
Sm Tl Pt
7 2 2
Cartesian
0.0000 0.0000 0.0000 Sm
2.1056 2.8295 1.8199 Sm
2.1056 2.8295 5.4005 Sm
2.1056 -2.8295 1.8199 Sm
2.1056 -2.8295 5.4005 Sm
4.2111 0.0000 1.7694 Sm
4.2111 0.0000 5.4510 Sm
1.4866 0.0000 3.6102 Tl
6.9356 0.0000 3.6102 Tl
4.2111 2.3862 0.0000 Pt
4.2111 -2.3862 0.0000 Pt
```

## Properties
SG   Cmmm (65)
Uncorrected energy   -5.01 eV/atom
V   344.1 Å³/f.u.
E_form   -0.481 eV per atom

Sm5Tl2Pt | PBE | optimized geometry

Geometry as POSCAR:
```
Sm5Tl2Pt
1.0
2.9834 -6.5497 0.0000
2.9834 6.5497 0.0000
0.0000 0.0000 12.6049
Sm Tl Pt
10 4 2
Cartesian
2.9834 5.6511 7.6242 Sm
2.9834 5.6511 11.2832 Sm
2.9834 1.5748 7.1647 Sm
2.9834 1.5748 11.7426 Sm
2.9834 1.4445 3.1512 Sm
2.9834 -1.4445 9.4537 Sm
2.9834 -1.5748 0.8623 Sm
2.9834 -1.5748 5.4402 Sm
2.9834 -5.6511 1.3217 Sm
2.9834 -5.6511 4.9807 Sm
2.9834 4.1062 1.5658 Tl
2.9834 4.1062 4.7367 Tl
2.9834 -4.1062 7.8682 Tl
2.9834 -4.1062 11.0391 Tl
2.9834 3.5183 9.4537 Pt
2.9834 -3.5183 3.1512 Pt
```

## Properties
SG   Cmcm (63)
Energy above the most stable polymorph in this dataset   0.2899 eV/atom
Uncorrected energy   -4.52 eV/atom
V   246.3 Å³/f.u.
E_form   -0.225 eV per atom